## ZnB2Sb (PBE-GGA)

Data for ZnB2Sb after structural relaxation.

Structure (CIF):
```
data_ZnB2Sb
_space_group_name_H-M_alt 'I -4 2 d'
_space_group_IT_number 122
_space_group_name_Hall 'I -4 2bw'
_cell_length_a 5.219
_cell_length_b 5.219
_cell_length_c 9.798
_cell_angle_alpha 90.00
_cell_angle_beta 90.00
_cell_angle_gamma 90.00
loop_
_atom_site_label
_atom_site_type_symbol
_atom_site_fract_x
_atom_site_fract_y
_atom_site_fract_z
_atom_site_occupancy
Zn1 Zn 0.000 0.000 0.000 1
B1 B 0.235 0.250 0.125 1
Sb1 Sb 0.000 0.000 0.500 1
```

As for the energy above the lowest structure with this stoichiometry: 0 meV per atom. The calculated density comes out at 5.2 g/cm³. For the calculated total energy, the calculation gives -3.746 eV per atom.